A relaxed structure of AlV2O4. Source: the Alexandria database, functional PBE with a Hubbard U.

Properties
Calculated volume   10.749 A^3/atom
Crystal system   triclinic
Space-group type   P-1 (2)
Offset from the most stable computed form   3.129 eV per formula unit

Cell: 5.312 5.525 6.129 Å, 109.84 111.33 97.89°
Positions (direct):
V: 0.000 0.500 0.500
O: 0.412 0.583 0.707
O: 0.369 0.099 0.835
O: 0.588 0.417 0.293
O: 0.204 0.857 0.300
Al: 0.317 0.060 0.137
Al: 0.683 0.940 0.863
O: 0.967 0.757 0.825
O: 0.631 0.901 0.165
O: 0.796 0.143 0.700
V: 0.000 0.500 0.000
O: 0.033 0.243 0.175
V: 0.000 0.000 0.500
V: 0.500 0.500 0.000